A relaxed Zr2Si crystal, computed with GGA-PBE.

E_form (uncorrected) in eV/atom: -0.512
Fermi-level density of states in states/eV per cell: 7.27
ρ in g/cm³: 6.00

Unit cell a=14.093 b=4.367 c=3.785 alpha=90.00 beta=90.00 gamma=90.00
Sites, in units of the cell vectors:
Si 0.850 0.000 0.000
Si 0.150 0.000 0.000
Si 0.350 0.500 0.000
Si 0.650 0.500 0.000
Zr 0.000 0.000 0.500
Zr 0.500 0.500 0.500
Zr 0.500 0.000 0.000
Zr 0.000 0.500 0.000
Zr 0.323 0.000 0.500
Zr 0.677 0.000 0.500
Zr 0.823 0.500 0.500
Zr 0.177 0.500 0.500

A relaxed CrGaNiAu crystal, computed with GGA-PBE.

Fermi-level density of states in states/eV per cell: 1.98
Formation enthalpy at 0 K in eV per atom: 0.001
ρ in g/cm³: 10.77

Unit cell a=4.350 b=4.350 c=4.350 alpha=60.00 beta=60.00 gamma=60.00
Sites, in units of the cell vectors:
Ni 0.250 0.250 0.250
Au 0.500 0.500 0.500
Ga 0.000 0.000 0.000
Cr 0.750 0.750 0.750

Question: Which value of ρ does entry 1 give?
Answer: 6.00 g/cm³

Question: ρ of number 2 (CrGaNiAu)?
Answer: 10.77 g/cm³